Density functional theory data (GGA-PBE) for a geometry-optimized NaLi2Au structure.

## Properties
Spin magnetization: 0.000 μB/f.u.
ΔE to the lowest computed polymorph: 177 meV per atom
Calculated density: 4.6 g cm⁻³
Calculated formation energy: -0.5 eV per formula unit

a b c (Å): 4.2388 4.2388 9.9321
angles (deg): 77.68 77.68 90.00
Last column: nearest neighbours and their distance in Å.
Sites, in units of the cell vectors:
Au1 0.7500 0.2500 0.5000  4 Li 2.73, 4 Na 3.00
Au2 0.0000 0.0000 0.0000  4 Li 2.73, 4 Na 3.00
Li1 0.6732 0.1250 0.2500  2 Li 2.72, 2 Au 2.73, 2 Na 2.89
Li2 0.0768 0.6250 0.2500  2 Li 2.72, 2 Au 2.73, 2 Na 2.89
Li3 0.3750 0.3268 0.7500  2 Li 2.72, 2 Au 2.73, 2 Na 2.89
Li4 0.8750 0.9232 0.7500  2 Li 2.72, 2 Au 2.73, 2 Na 2.89
Na1 0.2500 0.7500 0.5000  4 Li 2.89, 4 Au 3.00
Na2 0.5000 0.5000 0.0000  4 Li 2.89, 4 Au 3.00

Density functional theory data (GGA-PBE) for a geometry-optimized NaLi2Au structure.

## Properties
Spin magnetization: 0.000 μB/f.u.
ΔE to the lowest computed polymorph: 0 meV per atom
Calculated density: 4.6 g cm⁻³
Calculated formation energy: -1.2 eV per formula unit

a b c (Å): 5.7015 7.4492 7.9287
angles (deg): 90.00 90.00 90.00
Last column: nearest neighbours and their distance in Å.
Sites, in units of the cell vectors:
Na1 0.1138 0.2500 0.5333  3 Au 3.05-3.15, 8 Li 3.18-3.38
Na2 0.8862 0.7500 0.4667  3 Au 3.05-3.15, 8 Li 3.18-3.38
Na3 0.6138 0.7500 0.9667  3 Au 3.05-3.15, 8 Li 3.18-3.38
Na4 0.3862 0.2500 0.0333  3 Au 3.05-3.15, 8 Li 3.18-3.38
Au1 0.6231 0.2500 0.3808  6 Li 2.67-2.71
Au2 0.1231 0.7500 0.1192  6 Li 2.67-2.71
Au3 0.3769 0.7500 0.6192  6 Li 2.67-2.71
Au4 0.8769 0.2500 0.8808  6 Li 2.67-2.71
Li1 0.6131 0.4454 0.6686  3 Au 2.67-2.71, 1 Li 2.91
Li2 0.1131 0.5546 0.8314  3 Au 2.67-2.71, 1 Li 2.91
Li3 0.8869 0.0546 0.1686  3 Au 2.67-2.71, 1 Li 2.91
Li4 0.6131 0.0546 0.6686  3 Au 2.67-2.71, 1 Li 2.91
Li5 0.8869 0.4454 0.1686  3 Au 2.67-2.71, 1 Li 2.91
Li6 0.3869 0.5546 0.3314  3 Au 2.67-2.71, 1 Li 2.91
Li7 0.1131 0.9454 0.8314  3 Au 2.67-2.71, 1 Li 2.91
Li8 0.3869 0.9454 0.3314  3 Au 2.67-2.71, 1 Li 2.91

Density functional theory data (GGA-PBE) for a geometry-optimized Na6LiAu2 structure.

## Properties
Spin magnetization: 0.000 μB/f.u.
Calculated density: 3.8 g cm⁻³
Calculated formation energy: -1.7 eV per formula unit

a b c (Å): 5.2155 5.2155 10.4442
angles (deg): 75.54 75.54 60.00
Last column: nearest neighbours and their distance in Å.
Sites, in units of the cell vectors:
Na1 0.4244 0.4244 0.7268  3 Au 3.01
Na2 0.5756 0.5756 0.2732  3 Au 3.01
Na3 0.1889 0.1889 0.4334  1 Au 3.06, 7 Na 3.22-3.41
Na4 0.7038 0.7038 0.8886  3 Li 3.21, 4 Na 3.22-3.42, 3 Au 3.36
Na5 0.8111 0.8111 0.5666  1 Au 3.06, 7 Na 3.22-3.41
Na6 0.2962 0.2962 0.1114  3 Li 3.21, 4 Na 3.22-3.42, 3 Au 3.36
Au1 0.9132 0.9132 0.2603  1 Li 2.60
Au2 0.0868 0.0868 0.7397  1 Li 2.60
Li1 0.0000 0.0000 0.0000  2 Au 2.60

Density functional theory data (GGA-PBE) for a geometry-optimized Na2Li2Au3 structure.

## Properties
Spin magnetization: 0.000 μB/f.u.
Calculated density: 7.4 g cm⁻³
Calculated formation energy: -2.7 eV per formula unit

a b c (Å): 4.3536 5.5827 6.9044
angles (deg): 80.67 71.62 67.05
Last column: nearest neighbours and their distance in Å.
Sites, in units of the cell vectors:
Li1 0.1385 0.6833 0.0397  5 Au 2.72-2.80, 2 Li 2.94
Li2 0.8615 0.3167 0.9603  5 Au 2.72-2.80, 2 Li 2.94
Au1 0.4614 0.3826 0.6946  2 Au 2.74-2.77, 3 Li 2.80, 4 Na 3.05-3.07
Au2 0.5000 0.0000 0.0000  4 Li 2.72, 2 Au 2.74, 2 Na 2.90
Au3 0.5386 0.6174 0.3054  2 Au 2.74-2.77, 3 Li 2.80, 4 Na 3.05-3.07
Na1 0.8067 0.7897 0.5969  6 Au 2.90-3.14
Na2 0.1933 0.2103 0.4031  6 Au 2.90-3.14